# PmEr5Pb4 | Alexandria | PBE-GGA | optimized geometry
data_PmEr5Pb4
_chemical_formula_sum 'Pm2 Er10 Pb8'
_space_group_name_H-M_alt 'C 1 2/m 1'
_space_group_IT_number 12
_cell_length_a 17.879
_cell_length_b 4.593
_cell_length_c 7.885
_cell_angle_alpha 90.00
_cell_angle_beta 101.79
_cell_angle_gamma 90.00
loop_
_space_group_symop_operation_xyz
'x,y,z'
'-x,-y,-z'
'-x,y,-z'
'x,-y,z'
'x+1/2,y+1/2,z'
'-x+1/2,-y+1/2,-z'
'-x+1/2,y+1/2,-z'
'x+1/2,-y+1/2,z'
loop_
_atom_site_label
_atom_site_fract_x
_atom_site_fract_y
_atom_site_fract_z
Pm1 0.000 0.000 0.000
Er1 0.000 0.000 0.500
Er2 0.139 0.500 0.727
Er3 0.212 0.500 0.321
Pb1 0.041 0.500 0.284
Pb2 0.186 0.000 0.021
# formation enthalpy at 0 K: -214 kJ/mol of formula units
# total moment: 0.1 μB per formula unit
# calculated volume: 633.9 Å³ per cell


# Pm2Er3Pb3 | Alexandria | PBE-GGA | optimized geometry
data_Pm2Er3Pb3
_chemical_formula_sum 'Pm4 Er6 Pb6'
_space_group_name_H-M_alt 'I m m m'
_space_group_IT_number 71
_space_group_name_Hall '-I 2 2'
_cell_length_a 4.449
_cell_length_b 4.891
_cell_length_c 21.365
_cell_angle_alpha 90.00
_cell_angle_beta 90.00
_cell_angle_gamma 90.00
loop_
_atom_site_label
_atom_site_fract_x
_atom_site_fract_y
_atom_site_fract_z
Pm1 0.000 0.000 0.244
Er1 0.000 0.000 0.000
Er2 0.000 0.500 0.120
Pb1 0.000 0.000 0.500
Pb2 0.000 0.500 0.373
# formation enthalpy at 0 K: -267 kJ/mol of formula units
# total moment: 0.0 μB per formula unit
# calculated volume: 464.9 Å³ per cell


# Pm2ErPb | Alexandria | PBE-GGA | optimized geometry
data_Pm2ErPb
_chemical_formula_sum 'Pm6 Er3 Pb3'
_space_group_name_H-M_alt 'R -3 m'
_space_group_IT_number 166
_space_group_name_Hall '-R 3 2"'
_cell_length_a 3.5133
_cell_length_b 3.5133
_cell_length_c 36.4126
_cell_angle_alpha 90.00
_cell_angle_beta 90.00
_cell_angle_gamma 120.00
loop_
_atom_site_label
_atom_site_fract_x
_atom_site_fract_y
_atom_site_fract_z
Pm1 0.0000 0.0000 0.0914
Er1 0.0000 0.0000 0.0000
Pb1 0.0000 0.0000 0.5000
# formation enthalpy at 0 K: 28 kJ/mol of formula units
# total moment: 0.0 μB per formula unit
# calculated volume: 389.2 Å³ per cell


# PmPrErPb | Alexandria | PBE-GGA | optimized geometry
data_PmPrErPb
_chemical_formula_sum 'Pm4 Pr4 Er4 Pb4'
_space_group_name_H-M_alt 'F -4 3 m'
_space_group_IT_number 216
_space_group_name_Hall 'F -4 2 3'
_cell_length_a 7.909
_cell_length_b 7.909
_cell_length_c 7.909
_cell_angle_alpha 90.00
_cell_angle_beta 90.00
_cell_angle_gamma 90.00
loop_
_atom_site_label
_atom_site_fract_x
_atom_site_fract_y
_atom_site_fract_z
Pm1 0.000 0.000 0.000
Pr1 0.000 0.000 0.500
Er1 0.250 0.250 0.750
Pb1 0.250 0.250 0.250
# formation enthalpy at 0 K: -57 kJ/mol of formula units
# total moment: 0.0 μB per formula unit
# calculated volume: 494.6 Å³ per cell


# PmErPtPb | Alexandria | PBE-GGA | optimized geometry
data_PmErPtPb
_chemical_formula_sum 'Pm4 Er4 Pt4 Pb4'
_space_group_name_H-M_alt 'F -4 3 m'
_space_group_IT_number 216
_space_group_name_Hall 'F -4 2 3'
_cell_length_a 7.402
_cell_length_b 7.402
_cell_length_c 7.402
_cell_angle_alpha 90.00
_cell_angle_beta 90.00
_cell_angle_gamma 90.00
loop_
_atom_site_label
_atom_site_fract_x
_atom_site_fract_y
_atom_site_fract_z
Pm1 0.000 0.000 0.000
Er1 0.000 0.000 0.500
Pt1 0.250 0.250 0.750
Pb1 0.250 0.250 0.250
# formation enthalpy at 0 K: -274 kJ/mol of formula units
# total moment: 0.0 μB per formula unit
# calculated volume: 405.6 Å³ per cell


# PmErRuPb | Alexandria | PBE-GGA | optimized geometry
data_PmErRuPb
_chemical_formula_sum 'Pm1 Er1 Ru1 Pb1'
_space_group_name_H-M_alt 'P 4 m m'
_space_group_IT_number 99
_cell_length_a 3.463
_cell_length_b 3.463
_cell_length_c 8.245
_cell_angle_alpha 90.00
_cell_angle_beta 90.00
_cell_angle_gamma 90.00
loop_
_space_group_symop_operation_xyz
'x,y,z'
'-y,x,z'
'-x,-y,z'
'y,-x,z'
'-x,y,z'
'y,x,z'
'x,-y,z'
'-y,-x,z'
loop_
_atom_site_label
_atom_site_fract_x
_atom_site_fract_y
_atom_site_fract_z
Pm1 0.000 0.000 0.000
Er1 0.000 0.000 0.594
Ru1 0.500 0.500 0.785
Pb1 0.500 0.500 0.307
# formation enthalpy at 0 K: -168 kJ/mol of formula units
# total moment: 0.0 μB per formula unit
# calculated volume: 98.9 Å³ per cell